DFT (PBE) results for crystalline U2ZnGe4Ir3 at its relaxed geometry.

```
U2ZnGe4Ir3
1.0
4.182 0.000 0.000
0.000 4.182 0.000
0.000 0.000 10.364
U Zn Ge Ir
2 1 4 3
Direct
0.500 0.000 0.246
0.000 0.500 0.754
0.500 0.500 0.500
0.500 0.500 0.000
0.000 0.000 0.000
0.500 0.000 0.638
0.000 0.500 0.362
0.000 0.000 0.500
0.500 0.000 0.870
0.000 0.500 0.130
```

Output
Calculated formation energy (kcal/mol of atoms): -8.366
Raw total energy (eV per atom): -7.253
Total magnetic moment (μB/f.u.): 3.92
Fermi-level density of states (states/eV per cell): 16.97

=====

DFT (PBE) results for crystalline Ba2ZnPt2 at its relaxed geometry.

```
Ba2ZnPt2
1.0
-3.967 -0.491 2.200
-1.066 -7.189 -3.527
5.878 -3.380 5.113
Ba Zn Pt
4 2 4
Direct
0.037 0.274 0.075
0.214 0.621 0.428
0.786 0.121 0.572
0.963 0.774 0.925
0.593 0.914 0.186
0.407 0.414 0.814
0.559 0.579 0.119
0.156 0.978 0.312
0.844 0.478 0.688
0.441 0.079 0.881
```

Output
Calculated formation energy (kcal/mol of atoms): -14.491
Raw total energy (eV per atom): -4.069
Total magnetic moment (μB/f.u.): 0.00
Fermi-level density of states (states/eV per cell): 3.72

=====

DFT (PBE) results for crystalline TbSm2DyHo at its relaxed geometry.

```
TbSm2DyHo
1.0
7.223 0.000 0.000
0.000 8.391 0.000
0.000 -4.196 5.754
Tb Sm Dy Ho
2 4 2 2
Direct
0.250 0.009 0.018
0.750 0.991 0.982
0.500 0.309 0.000
0.000 0.691 0.000
0.500 0.691 0.000
0.000 0.309 0.000
0.750 0.722 0.444
0.250 0.278 0.556
0.250 0.731 0.461
0.750 0.269 0.539
```

Output
Calculated formation energy (kcal/mol of atoms): 9.801
Raw total energy (eV per atom): -4.225
Total magnetic moment (μB/f.u.): 0.00
Fermi-level density of states (states/eV per cell): 16.75

=====

DFT (PBE) results for crystalline Zr3Se5 at its relaxed geometry.

```
Zr3Se5
1.0
8.258 -0.900 -0.195
-5.851 6.894 -0.755
-1.354 -3.981 7.530
Se Zr
10 6
Direct
0.187 0.706 0.413
0.812 0.294 0.587
0.715 0.994 0.881
0.284 0.006 0.119
0.794 0.711 0.306
0.206 0.289 0.694
0.602 0.324 0.880
0.397 0.676 0.120
0.184 0.294 0.321
0.815 0.706 0.679
0.749 0.756 0.003
0.250 0.244 0.997
0.357 0.145 0.495
0.642 0.855 0.505
0.264 0.846 0.781
0.735 0.154 0.219
```

Output
Raw total energy (eV per atom): -6.599
Energy above the most stable polymorph in this dataset (kJ/mol of formula units): 0.0
Formation energy without anion corrections (eV per atom): -1.22
Total magnetic moment (μB/f.u.): 0.00
Fermi-level density of states (states/eV per cell): 6.29

=====

DFT (PBE) results for crystalline Na2NbHgF at its relaxed geometry.

```
Na2NbHgF
1.0
6.183 0.000 0.000
0.000 5.524 0.000
0.000 0.000 6.183
Na Nb Hg F
2 1 1 1
Direct
0.000 0.000 0.500
0.500 0.000 0.000
0.000 0.000 0.000
0.000 0.500 0.000
0.500 0.500 0.500
```

Output
Raw total energy (eV per atom): -2.420
Formation energy without anion corrections (eV per atom): 0.56
Total magnetic moment (μB/f.u.): 4.84
Fermi-level density of states (states/eV per cell): 3.06

=====

DFT (PBE) results for crystalline PaSiTcN at its relaxed geometry.

```
PaSiTcN
1.0
-3.298 -0.755 2.217
-1.207 -2.733 -2.726
3.917 -5.629 3.910
Pa Si Tc N
2 2 2 2
Direct
0.000 0.500 0.859
0.500 0.000 0.141
0.500 0.000 0.668
0.000 0.500 0.332
0.000 0.000 0.500
0.500 0.500 0.500
0.500 0.500 0.000
0.000 0.000 0.000
```

Output
Raw total energy (eV per atom): -9.373
Formation energy without anion corrections (eV per atom): -0.97
Total magnetic moment (μB/f.u.): 0.00
Fermi-level density of states (states/eV per cell): 6.41

=====

DFT (PBE) results for crystalline HoEr2In3 at its relaxed geometry.

```
HoEr2In3
1.0
-0.699 -0.566 3.416
2.262 -2.714 0.013
9.264 7.735 3.178
Ho Er In
1 2 3
Direct
0.500 0.500 0.500
0.500 0.500 0.834
0.500 0.500 0.166
0.000 0.000 0.000
0.000 0.000 0.668
0.000 0.000 0.332
```

Output
Calculated formation energy (kcal/mol of atoms): -10.335
Raw total energy (eV per atom): -4.101
Total magnetic moment (μB/f.u.): 0.00
Fermi-level density of states (states/eV per cell): 3.28

=====

DFT (PBE) results for crystalline SbTe2MoPt at its relaxed geometry.

```
SbTe2MoPt
1.0
-3.482 -2.677 3.140
-0.582 -3.749 -3.841
3.830 -2.640 1.996
Sb Mo Te Pt
1 1 2 1
Direct
0.000 0.000 0.500
0.500 0.500 0.500
0.000 0.500 0.000
0.500 0.000 0.000
0.000 0.000 0.000
```

Output
Raw total energy (eV per atom): -4.506
Energy above the most stable polymorph in this dataset (kJ/mol of formula units): 51.8
Formation energy without anion corrections (eV per atom): 0.95
Total magnetic moment (μB/f.u.): 3.25
Fermi-level density of states (states/eV per cell): 2.91

=====

DFT (PBE) results for crystalline VNiMo2 at its relaxed geometry.

```
VNiMo2
1.0
3.120 0.000 0.000
0.000 3.120 0.000
0.000 0.000 5.751
Ni Mo V
1 2 1
Direct
0.500 0.500 0.000
0.000 0.000 0.752
0.000 0.000 0.248
0.500 0.500 0.500
```

Output
Calculated formation energy (kcal/mol of atoms): 1.390
Raw total energy (eV per atom): -9.080
Energy above the most stable polymorph in this dataset (kJ/mol of formula units): 0.0
Total magnetic moment (μB/f.u.): 0.00
Fermi-level density of states (states/eV per cell): 5.02

=====

DFT (PBE) results for crystalline DyEr4Tm10 at its relaxed geometry.

```
DyEr4Tm10
1.0
6.888 0.000 3.110
3.444 8.456 1.555
-0.036 0.000 9.262
Dy Er Tm
1 4 10
Direct
0.000 0.000 0.000
0.400 0.800 0.401
0.801 0.599 0.800
0.199 0.401 0.200
0.600 0.200 0.599
0.250 0.500 0.500
0.649 0.300 0.900
0.051 0.100 0.300
0.451 0.900 0.700
0.849 0.700 0.100
0.351 0.700 0.100
0.750 0.500 0.500
0.151 0.300 0.900
0.549 0.100 0.300
0.949 0.900 0.700
```

Output
Calculated formation energy (kcal/mol of atoms): 16.796
Raw total energy (eV per atom): -3.776
Total magnetic moment (μB/f.u.): 0.00
Fermi-level density of states (states/eV per cell): 14.11

=====

DFT (PBE) results for crystalline Sr3Tl2Pd7 at its relaxed geometry.

```
Sr3Tl2Pd7
1.0
5.537 0.000 1.733
2.497 4.942 1.733
0.055 0.034 9.537
Sr Tl Pd
3 2 7
Direct
0.000 0.000 0.000
0.860 0.860 0.421
0.140 0.140 0.579
0.667 0.667 0.998
0.333 0.333 0.002
0.500 0.500 0.500
0.915 0.416 0.253
0.416 0.915 0.253
0.416 0.416 0.253
0.085 0.584 0.747
0.584 0.584 0.747
0.584 0.085 0.747
```

Output
Calculated formation energy (kcal/mol of atoms): -11.794
Raw total energy (eV per atom): -4.355
Total magnetic moment (μB/f.u.): 0.00
Fermi-level density of states (states/eV per cell): 5.04

=====

DFT (PBE) results for crystalline KCuTc2 at its relaxed geometry.

```
KCuTc2
1.0
-3.389 -4.084 2.297
0.943 -5.202 -2.342
1.952 4.436 3.155
Cu K Tc
1 1 2
Direct
0.545 0.545 0.000
0.250 0.750 0.500
0.941 0.941 0.000
0.764 0.264 0.500
```

Output
Calculated formation energy (kcal/mol of atoms): 26.547
Raw total energy (eV per atom): -5.330
Energy above the most stable polymorph in this dataset (kJ/mol of formula units): 218.0
Total magnetic moment (μB/f.u.): 0.00
Fermi-level density of states (states/eV per cell): 3.51